4
Lattice="4.780 0.000 0.000 0.000 4.780 0.000 0.000 0.000 3.177" Properties=species:S:1:pos:R:3 comment="LaMn2Al PBE-GGA optimized geometry" e_form_ev_per_atom=0.253 pbc="T T T"
La 0.000 0.000 0.000
Mn 0.000 2.390 1.588
Mn 2.390 0.000 1.588
Al 2.390 2.390 0.000